(1)
Compound: PrGdInCu
Source: Alexandria
Functional: PBE
Structure: relaxed

Cell and atoms, written as POSCAR:
```
PrGdInCu
1.0
-0.9162 -1.1213 -5.0854
-2.0100 -4.7006 -1.3503
-4.9677 -0.3387 -1.7792
Pr Gd Cu In
1 1 1 1
direct
0.5000 0.5000 0.5000
0.0000 0.0000 0.0000
0.2500 0.2500 0.2500
0.7500 0.7500 0.7500
```

Results
The space group is No. 216. For the energy relative to the elements, the calculation gives -0.28 eV/atom. As for the volume: 104.5 Å³/cell.

---

(2)
Compound: K2HSe2
Source: Alexandria
Functional: PBE
Structure: relaxed

Cell and atoms, written as POSCAR:
```
K2HSe2
1.0
-1.2836 -4.4166 1.6104
2.0521 -4.6105 -3.6356
9.2082 -3.4275 5.3127
K H Se
4 2 4
direct
0.6742 0.2686 0.3830
0.9170 0.2771 0.8888
0.3258 0.7314 0.6170
0.0830 0.7229 0.1112
0.6828 0.9073 0.7271
0.3172 0.0927 0.2729
0.0417 0.3335 0.5832
0.6326 0.8693 0.8655
0.9583 0.6665 0.4168
0.3674 0.1307 0.1345
```

Results
The space group is No. 12. Its polymorph energy (0 for the lowest one) is 0.00 eV/f.u. As for the volume: 300.5 Å³/cell.

---

(3)
Compound: SrSmEuNbO6
Source: Alexandria
Functional: PBE
Structure: relaxed

Cell and atoms, written as POSCAR:
```
SrSmEuNbO6
1.0
0.0000 4.2725 4.2725
4.2725 0.0000 4.2725
4.2725 4.2725 0.0000
Sr Sm Eu Nb O
1 1 1 1 6
direct
0.7500 0.7500 0.7500
0.5000 0.5000 0.5000
0.2500 0.2500 0.2500
0.0000 0.0000 0.0000
0.2349 0.7651 0.2349
0.7651 0.2349 0.7651
0.2349 0.7651 0.7651
0.7651 0.2349 0.2349
0.2349 0.2349 0.7651
0.7651 0.7651 0.2349
```

Results
The space group is No. 216. Its polymorph energy (0 for the lowest one) is 1.25 eV/f.u. For the formation energy from raw total energies, the calculation gives -2879 meV per atom. As for the volume: 156.0 Å³/cell.

---

(4)
Compound: YErBeOs
Source: Alexandria
Functional: PBE
Structure: relaxed

Cell and atoms, written as POSCAR:
```
YErBeOs
1.0
-2.2115 -2.1316 3.7054
0.1260 -4.7907 0.4450
2.5963 -2.0232 3.5114
Y Be Os Er
1 1 1 1
direct
0.2500 0.2500 0.2500
0.0000 0.0000 0.0000
0.5000 0.5000 0.5000
0.7500 0.7500 0.7500
```

Results
The space group is No. 216. For the energy relative to the elements, the calculation gives -0.08 eV/atom. As for the volume: 78.8 Å³/cell.